An optimized crystal structure of ZrW2. Source: OQMD via LeMat-Bulk, functional PBE.

Cell: 7.6564 7.6564 7.6564 Å, 90.00 90.00 90.00°
Last column: nearest neighbours and their distance in Å.
Space group Fd-3m (No. 227, origin choice 2)
Asymmetric unit:
1 Zr 0.1250 0.1250 0.1250 (multiplicity 8)  12 W 3.17, 4 Zr 3.32
2 W 0.0000 0.0000 0.5000 (multiplicity 16)  6 W 2.71

Properties
- electronic total energy (eV/atom) = -11.634
- ΔH_f (0 K) (meV per atom) = -144
- calculated volume (Å³/cell) = 449

***

An optimized crystal structure of Zr3W5. Source: OQMD via LeMat-Bulk, functional PBE.

Cell: 10.6462 10.6462 5.3074 Å, 90.00 90.00 90.00°
Last column: nearest neighbours and their distance in Å.
Space group I4/mcm (No. 140)
Asymmetric unit:
1 Zr 0.0000 0.0000 0.2500 (multiplicity 4)  2 Zr 2.65
2 Zr 0.1876 0.3124 0.0000 (multiplicity 8)  4 W 2.68-2.81
3 W 0.0000 0.5000 0.2500 (multiplicity 4)  10 W 2.65-2.96
4 W 0.0586 0.2582 0.5000 (multiplicity 16)  2 Zr 2.68-2.81, 5 W 2.76-2.96

Properties
- electronic total energy (eV/atom) = -10.864
- ΔH_f (0 K) (meV per atom) = 441
- calculated volume (Å³/cell) = 602

***

An optimized crystal structure of Zr4W3. Source: OQMD via LeMat-Bulk, functional PBE.

Cell: 7.2989 4.7945 8.3196 Å, 90.00 110.59 90.00°
Last column: nearest neighbours and their distance in Å.
Space group P2_1/m (No. 11)
Asymmetric unit:
1 Zr 0.0736 0.2500 0.0943 (multiplicity 2)  3 W 2.80-3.06, 5 Zr 2.86-3.02
2 Zr 0.1000 0.7500 0.6259 (multiplicity 2)  3 W 2.79-2.94, 2 Zr 3.00-3.02
3 Zr 0.1950 0.7500 0.3030 (multiplicity 2)  7 Zr 2.91-3.20, 2 W 2.98-2.99
4 Zr 0.3647 0.2500 0.5472 (multiplicity 2)  4 W 2.87-3.08, 4 Zr 3.01-3.18
5 W 0.2405 0.2500 0.8380 (multiplicity 2)  3 W 2.64-2.86, 4 Zr 2.80-2.94
6 W 0.3737 0.7500 0.0306 (multiplicity 2)  6 W 2.64-2.88
7 W 0.4925 0.2500 0.2313 (multiplicity 2)  3 W 2.68-2.88, 4 Zr 2.79-2.98

Properties
- electronic total energy (eV/atom) = -10.285
- energy above the lowest structure with this stoichiometry (eV per atom) = 0.000
- ΔH_f (0 K) (meV per atom) = 153
- calculated volume (Å³/cell) = 273

***

An optimized crystal structure of Y. Source: OQMD via LeMat-Bulk, functional PBE.

Cell: 3.6022 6.0606 23.5596 Å, 90.00 90.00 90.00°
Last column: nearest neighbours and their distance in Å.
Space group Fddd (No. 70, origin choice 2)
Asymmetric unit:
1 Y 0.1250 0.1250 0.3128 (multiplicity 16)  10 Y 3.44-3.60

Properties
- electronic total energy (eV/atom) = -6.346
- energy above the lowest structure with this stoichiometry (eV per atom) = 0.119
- ΔH_f (0 K) (meV per atom) = 119
- calculated volume (Å³/cell) = 514

***

An optimized crystal structure of Y. Source: OQMD via LeMat-Bulk, functional PBE.

Cell: 8.7163 8.7163 8.7163 Å, 90.00 90.00 90.00°
Last column: nearest neighbours and their distance in Å.
Space group P4_132 (No. 213)
Asymmetric unit:
1 Y 0.0441 0.1250 0.7941 (multiplicity 12)  12 Y 3.50-3.71
2 Y 0.0614 0.9386 0.4386 (multiplicity 8)  6 Y 3.27-3.50

Properties
- electronic total energy (eV/atom) = -6.287
- energy above the lowest structure with this stoichiometry (eV per atom) = 0.178
- ΔH_f (0 K) (meV per atom) = 178
- calculated volume (Å³/cell) = 662

***

An optimized crystal structure of Y. Source: OQMD via LeMat-Bulk, functional PBE.

Cell: 3.5689 3.5689 8.6870 Å, 90.00 90.00 120.00°
Last column: nearest neighbours and their distance in Å.
Space group P3_121 (No. 152)
Asymmetric unit:
1 Y 0.0000 0.3401 0.1667 (multiplicity 3)  12 Y 3.54-3.58

Properties
- electronic total energy (eV/atom) = -6.439
- energy above the lowest structure with this stoichiometry (eV per atom) = 0.026
- ΔH_f (0 K) (meV per atom) = 26
- calculated volume (Å³/cell) = 96

***

An optimized crystal structure of Y. Source: OQMD via LeMat-Bulk, functional PBE.

Cell: 5.0510 5.0510 5.0510 Å, 90.00 90.00 90.00°
Last column: nearest neighbours and their distance in Å.
Space group Fm-3m (No. 225)
Asymmetric unit:
1 Y 0.0000 0.0000 0.0000 (multiplicity 4)  12 Y 3.57

Properties
- electronic total energy (eV/atom) = -6.440
- energy above the lowest structure with this stoichiometry (eV per atom) = 0.025
- ΔH_f (0 K) (meV per atom) = 25
- calculated volume (Å³/cell) = 129

***

An optimized crystal structure of Y. Source: OQMD via LeMat-Bulk, functional PBE.

Cell: 3.5346 3.5346 5.1426 Å, 90.00 90.00 90.00°
Last column: nearest neighbours and their distance in Å.
Space group I4/mmm (No. 139)
Asymmetric unit:
1 Y 0.0000 0.0000 0.0000 (multiplicity 2)  12 Y 3.53-3.59

Properties
- electronic total energy (eV/atom) = -6.438
- energy above the lowest structure with this stoichiometry (eV per atom) = 0.027
- ΔH_f (0 K) (meV per atom) = 27
- calculated volume (Å³/cell) = 64

***

An optimized crystal structure of Y. Source: OQMD via LeMat-Bulk, functional PBE.

Cell: 3.6447 3.6447 5.6395 Å, 90.00 90.00 120.00°
Last column: nearest neighbours and their distance in Å.
Space group P6_3/mmc (No. 194)
Asymmetric unit:
1 Y 0.3333 0.6667 0.2500 (multiplicity 2)  12 Y 3.52-3.64

Properties
- electronic total energy (eV/atom) = -6.465
- energy above the lowest structure with this stoichiometry (eV per atom) = 0.000
- ΔH_f (0 K) (meV per atom) = 0
- calculated volume (Å³/cell) = 65

***

An optimized crystal structure of Y. Source: OQMD via LeMat-Bulk, functional PBE.

Cell: 3.6708 17.2511 6.0971 Å, 90.00 90.00 90.00°
Last column: nearest neighbours and their distance in Å.
Space group Fmm2 (No. 42)
Asymmetric unit:
1 Y 0.0000 0.0000 0.0000 (multiplicity 4)  12 Y 3.51-3.67
2 Y 0.0000 0.1649 0.6637 (multiplicity 8)  11 Y 3.46-3.67

Properties
- electronic total energy (eV/atom) = -6.435
- energy above the lowest structure with this stoichiometry (eV per atom) = 0.030
- ΔH_f (0 K) (meV per atom) = 30
- calculated volume (Å³/cell) = 386

***

An optimized crystal structure of Y. Source: OQMD via LeMat-Bulk, functional PBE.

Cell: 3.5773 3.5773 8.4810 Å, 90.00 90.00 120.00°
Last column: nearest neighbours and their distance in Å.
Space group R-3m (No. 166, hexagonal axes)
Asymmetric unit:
1 Y 0.0000 0.0000 0.0000 (multiplicity 3)  12 Y 3.50-3.58

Properties
- electronic total energy (eV/atom) = -6.431
- energy above the lowest structure with this stoichiometry (eV per atom) = 0.035
- ΔH_f (0 K) (meV per atom) = 35
- calculated volume (Å³/cell) = 94

***

An optimized crystal structure of Y. Source: OQMD via LeMat-Bulk, functional PBE.

Cell: 5.5544 5.5544 5.4367 Å, 90.00 90.00 120.00°
Last column: nearest neighbours and their distance in Å.
Space group P6_3/mmc (No. 194)
Asymmetric unit:
1 Y 0.0000 0.0000 0.2500 (multiplicity 2)  2 Y 2.72
2 Y 0.3333 0.6667 0.2500 (multiplicity 2)  3 Y 3.21

Properties
- electronic total energy (eV/atom) = -5.566
- energy above the lowest structure with this stoichiometry (eV per atom) = 0.900
- ΔH_f (0 K) (meV per atom) = 900
- calculated volume (Å³/cell) = 145

***

An optimized crystal structure of Y. Source: OQMD via LeMat-Bulk, functional PBE.

Cell: 3.5575 3.5575 8.5076 Å, 90.00 90.00 120.00°
Last column: nearest neighbours and their distance in Å.
Space group R-3m (No. 166, hexagonal axes)
Asymmetric unit:
1 Y 0.0000 0.0000 0.0000 (multiplicity 3)  12 Y 3.50-3.56

Properties
- electronic total energy (eV/atom) = -6.430
- energy above the lowest structure with this stoichiometry (eV per atom) = 0.035
- ΔH_f (0 K) (meV per atom) = 35
- calculated volume (Å³/cell) = 93

***

An optimized crystal structure of Y. Source: OQMD via LeMat-Bulk, functional PBE.

Cell: 5.7017 12.4062 3.7049 Å, 90.00 90.00 90.00°
Last column: nearest neighbours and their distance in Å.
Space group Cmce (No. 64)
Asymmetric unit:
1 Y 0.0000 0.1377 0.0019 (multiplicity 8)  9 Y 3.35-3.70

Properties
- electronic total energy (eV/atom) = -6.265
- energy above the lowest structure with this stoichiometry (eV per atom) = 0.200
- ΔH_f (0 K) (meV per atom) = 200
- calculated volume (Å³/cell) = 262

***

An optimized crystal structure of Y. Source: OQMD via LeMat-Bulk, functional PBE.

Cell: 6.4547 6.4547 6.4547 Å, 90.00 90.00 90.00°
Last column: nearest neighbours and their distance in Å.
Space group Pm-3n (No. 223)
Asymmetric unit:
1 Y 0.0000 0.0000 0.0000 (multiplicity 2)  12 Y 3.61
2 Y 0.0000 0.2500 0.5000 (multiplicity 6)  6 Y 3.23-3.61

Properties
- electronic total energy (eV/atom) = -6.236
- energy above the lowest structure with this stoichiometry (eV per atom) = 0.229
- ΔH_f (0 K) (meV per atom) = 229
- calculated volume (Å³/cell) = 269

***

An optimized crystal structure of Y. Source: OQMD via LeMat-Bulk, functional PBE.

Cell: 6.2922 3.6502 5.6574 Å, 90.00 90.14 90.00°
Last column: nearest neighbours and their distance in Å.
Space group C2/m (No. 12)
Asymmetric unit:
1 Y 0.1701 0.0000 0.2498 (multiplicity 4)  12 Y 3.51-3.65

Properties
- electronic total energy (eV/atom) = -6.465
- energy above the lowest structure with this stoichiometry (eV per atom) = 0.000
- ΔH_f (0 K) (meV per atom) = 0
- calculated volume (Å³/cell) = 130

***

An optimized crystal structure of Y. Source: OQMD via LeMat-Bulk, functional PBE.

Cell: 3.6977 5.7602 12.4084 Å, 90.00 90.00 90.00°
Last column: nearest neighbours and their distance in Å.
Space group Fmmm (No. 69)
Asymmetric unit:
1 Y 0.0000 0.0000 0.1376 (multiplicity 8)  9 Y 3.35-3.70

Properties
- electronic total energy (eV/atom) = -6.266
- energy above the lowest structure with this stoichiometry (eV per atom) = 0.199
- ΔH_f (0 K) (meV per atom) = 199
- calculated volume (Å³/cell) = 264

***

An optimized crystal structure of Y. Source: OQMD via LeMat-Bulk, functional PBE.

Cell: 12.4332 12.4332 12.4332 Å, 90.00 90.00 90.00°
Last column: nearest neighbours and their distance in Å.
Space group I-43m (No. 217)
Asymmetric unit:
1 Y 0.0000 0.0000 0.0000 (multiplicity 2)  16 Y 3.75-3.87
2 Y 0.0553 0.3672 0.6328 (multiplicity 24)  8 Y 3.44-3.60
3 Y 0.0929 0.0929 0.7181 (multiplicity 24)  8 Y 3.27-3.60
4 Y 0.1743 0.1743 0.1743 (multiplicity 8)  10 Y 3.44-3.75

Properties
- electronic total energy (eV/atom) = -6.276
- energy above the lowest structure with this stoichiometry (eV per atom) = 0.189
- ΔH_f (0 K) (meV per atom) = 189
- calculated volume (Å³/cell) = 1922

***

An optimized crystal structure of Y. Source: OQMD via LeMat-Bulk, functional PBE.

Cell: 3.5856 3.5856 11.5298 Å, 90.00 90.00 120.00°
Last column: nearest neighbours and their distance in Å.
Space group P6_3/mmc (No. 194)
Asymmetric unit:
1 Y 0.0000 0.0000 0.0000 (multiplicity 2)  12 Y 3.55-3.59
2 Y 0.3333 0.6667 0.2500 (multiplicity 2)  12 Y 3.55-3.59

Properties
- electronic total energy (eV/atom) = -6.458
- energy above the lowest structure with this stoichiometry (eV per atom) = 0.008
- ΔH_f (0 K) (meV per atom) = 8
- calculated volume (Å³/cell) = 128

***

An optimized crystal structure of Y. Source: OQMD via LeMat-Bulk, functional PBE.

Cell: 9.3024 9.3024 3.7487 Å, 90.00 90.00 90.00°
Last column: nearest neighbours and their distance in Å.
Space group P4/mbm (No. 127)
Asymmetric unit:
1 Y 0.0000 0.0000 0.0000 (multiplicity 2)  14 Y 3.66-3.93
2 Y 0.1283 0.3717 0.0000 (multiplicity 4)  7 Y 3.25-3.38
3 Y 0.1700 0.6700 0.5000 (multiplicity 4)  6 Y 3.25-3.37

Properties
- electronic total energy (eV/atom) = -6.375
- energy above the lowest structure with this stoichiometry (eV per atom) = 0.090
- ΔH_f (0 K) (meV per atom) = 90
- calculated volume (Å³/cell) = 324

***

An optimized crystal structure of YZn. Source: OQMD via LeMat-Bulk, functional PBE.

Cell: 4.8748 19.0172 4.9023 Å, 90.00 90.00 90.00°
Last column: nearest neighbours and their distance in Å.
Space group Amm2 (No. 38)
Asymmetric unit:
1 Y 0.0000 0.0000 0.0000 (multiplicity 2)  8 Zn 2.91-2.93
2 Y 0.0000 0.1869 0.0043 (multiplicity 4)  4 Zn 3.12-3.15, 6 Y 3.43-3.47
3 Y 0.5000 0.1718 0.5061 (multiplicity 4)  5 Zn 2.96-3.27
4 Zn 0.0000 0.0838 0.5007 (multiplicity 4)  3 Zn 2.91-3.19, 6 Y 2.92-3.15
5 Zn 0.5000 0.0000 0.5061 (multiplicity 2)  8 Zn 2.91-2.93
6 Zn 0.5000 0.0836 0.0075 (multiplicity 4)  6 Y 2.91-3.13, 3 Zn 2.92-3.18

Properties
- electronic total energy (eV/atom) = -4.101
- ΔH_f (0 K) (meV per atom) = -236
- calculated volume (Å³/cell) = 454

***

An optimized crystal structure of YZn. Source: OQMD via LeMat-Bulk, functional PBE.

Cell: 6.4980 6.4980 5.3394 Å, 90.00 90.00 120.00°
Last column: nearest neighbours and their distance in Å.
Space group P-6m2 (No. 187)
Asymmetric unit:
1 Y 0.0000 0.0000 0.0000 (multiplicity 1)  6 Zn 3.26, 6 Y 3.29
2 Y 0.3411 0.1706 0.5000 (multiplicity 3)  6 Y 3.17-3.32, 6 Zn 3.19-3.25
3 Zn 0.3333 0.6667 0.5000 (multiplicity 1)  6 Y 3.25, 6 Zn 3.40
4 Zn 0.5211 0.0421 0.0000 (multiplicity 3)  2 Zn 2.84

Properties
- electronic total energy (eV/atom) = -3.776
- ΔH_f (0 K) (meV per atom) = 89
- calculated volume (Å³/cell) = 195

***

An optimized crystal structure of YZn. Source: OQMD via LeMat-Bulk, functional PBE.

Cell: 6.9089 4.6408 17.0759 Å, 90.00 90.04 90.00°
Last column: nearest neighbours and their distance in Å.
Space group P2_1/m (No. 11)
Asymmetric unit:
1 Y 0.0260 0.2500 0.1152 (multiplicity 2)  9 Zn 3.04-3.33
2 Y 0.0263 0.7500 0.3849 (multiplicity 2)  9 Zn 3.04-3.33
3 Y 0.3383 0.7500 0.0392 (multiplicity 2)  4 Zn 2.98-3.05
4 Y 0.3387 0.2500 0.4608 (multiplicity 2)  4 Zn 2.98-3.04
5 Y 0.4581 0.2500 0.6680 (multiplicity 2)  6 Zn 2.98-3.23
6 Y 0.4581 0.7500 0.8321 (multiplicity 2)  6 Zn 2.98-3.23
7 Zn 0.1499 0.2500 0.7901 (multiplicity 2)  4 Zn 2.59-2.69
8 Zn 0.1498 0.7500 0.7099 (multiplicity 2)  4 Zn 2.59-2.69
9 Zn 0.2242 0.2500 0.9389 (multiplicity 2)  1 Zn 2.59
10 Zn 0.2239 0.7500 0.5611 (multiplicity 2)  1 Zn 2.59
11 Zn 0.2330 0.2500 0.2914 (multiplicity 2)  3 Zn 2.64-2.72
12 Zn 0.2329 0.7500 0.2086 (multiplicity 2)  3 Zn 2.64-2.72

Properties
- electronic total energy (eV/atom) = -4.151
- ΔH_f (0 K) (meV per atom) = -286
- calculated volume (Å³/cell) = 548

***

An optimized crystal structure of YZn. Source: OQMD via LeMat-Bulk, functional PBE.

Cell: 7.0663 5.0320 7.8251 Å, 90.00 99.87 90.00°
Last column: nearest neighbours and their distance in Å.
Space group P2_1/m (No. 11)
Asymmetric unit:
1 Y 0.1676 0.2500 0.0425 (multiplicity 2)  5 Zn 2.89-3.21
2 Y 0.1778 0.7500 0.3476 (multiplicity 2)  7 Zn 3.06-3.35
3 Y 0.3136 0.2500 0.6507 (multiplicity 2)  6 Zn 2.87-3.13
4 Zn 0.1080 0.7500 0.7232 (multiplicity 2)  2 Zn 2.70-2.96, 3 Y 2.89-3.01
5 Zn 0.3902 0.7500 0.0028 (multiplicity 2)  4 Zn 2.70-2.96, 2 Y 3.01
6 Zn 0.4878 0.2500 0.3330 (multiplicity 2)  5 Y 2.87-3.13, 2 Zn 2.90-2.96

Properties
- electronic total energy (eV/atom) = -4.113
- ΔH_f (0 K) (meV per atom) = -248
- calculated volume (Å³/cell) = 274